DFT (GGA-PBE) results for an optimized crystal structure of Mn2ZnAg.

abc: 6.301 6.301 6.301
angles: 90.00 90.00 90.00
Space group F-43m (No. 216)
One atom of each set of equivalent atoms:
Mn (0.000, 0.000, 0.000) x4
Mn (0.250, 0.250, 0.250) x4
Zn (0.250, 0.250, 0.750) x4
Ag (0.000, 0.000, 0.500) x4

The value obtained for the magnetic moment is 31.64 Bohr magnetons per cell. Its total energy is -5.30 eV/atom. The energy of formation is 0.320 eV per atom.